! YFe2SnO6 | the Alexandria database | PBE+U | relaxed; values from VASP
&SYSTEM
  ibrav = 0, nat = 10, ntyp = 4
/
ATOMIC_SPECIES
Y 88.91 Y.upf
Fe 55.84 Fe.upf
Sn 118.71 Sn.upf
O 16.00 O.upf
CELL_PARAMETERS angstrom
5.3375 0.0000 0.0000
2.6561 4.6321 0.0000
0.0551 3.0342 4.8433
ATOMIC_POSITIONS crystal
Y 0.0000 0.0000 0.0000
Fe 0.2125 0.5787 0.6243
Fe 0.7267 0.5436 0.1713
Sn 0.5208 0.9615 0.5491
O 0.1288 0.0430 0.3696
O 0.3390 0.0986 0.8341
O 0.4292 0.4516 0.3613
O 0.5627 0.4965 0.8318
O 0.8335 0.7482 0.3686
O 0.9344 0.7154 0.8445
! DFT total energy, eV per atom: -6.998
! DOS at the Fermi energy, states/eV per atom: 0.00
! Volume, Å³/atom: 11.97
! M_tot, μB per formula unit: 5.00